The following is a DFT calculation (PBE) of a geometry-optimized Al2Cr2Mo structure.

Output
- Offset from the most stable computed form: 0.000 eV per atom
- SG: P4/mbm
- M_tot: 4.6 μB per cell
- Formation enthalpy at 0 K: 3.707 kcal/mol of atoms

Lattice parameters (Å, degrees): 6.790 6.790 3.041 90.00 90.00 90.00
Atoms (fractional coordinates):
Al: 0.132 0.368 0.000
Al: 0.368 0.868 0.000
Al: 0.632 0.132 0.000
Al: 0.868 0.632 0.000
Cr: 0.167 0.667 0.500
Cr: 0.333 0.167 0.500
Cr: 0.667 0.833 0.500
Cr: 0.833 0.333 0.500
Mo: 0.000 0.000 0.000
Mo: 0.500 0.500 0.000